This record from the Alexandria database describes crystalline YPuPaO6 at its relaxed geometry. The functional is GGA-PBE.

Cell: 5.751 5.751 9.491 Å, 90.00 90.00 120.00°
Sites, in units of the cell vectors:
Y 0.333 0.667 0.250
Y 0.667 0.333 0.750
Pu 0.333 0.667 0.750
Pu 0.667 0.333 0.250
Pa 0.000 0.000 0.000
Pa 0.000 0.000 0.500
O 0.009 0.328 0.628
O 0.009 0.682 0.872
O 0.318 0.328 0.872
O 0.318 0.991 0.628
O 0.328 0.009 0.128
O 0.328 0.318 0.372
O 0.672 0.682 0.628
O 0.672 0.991 0.872
O 0.682 0.009 0.372
O 0.682 0.672 0.128
O 0.991 0.318 0.128
O 0.991 0.672 0.372

Results
For the density of states at the Fermi level, the calculation gives 9.65 states/eV per cell. The value obtained for the total energy is -0.733 Ry/atom. Its magnetic moment is 8.0 Bohr magnetons per cell. Its raw formation energy is -3.295 eV/atom. The calculated volume is 15.1 Å³ per atom.

This record from the Alexandria database describes crystalline PuPaZnO6 at its relaxed geometry. The functional is GGA-PBE.

Cell: 5.376 5.376 9.897 Å, 90.00 90.00 120.00°
Sites, in units of the cell vectors:
Pu 0.333 0.667 0.250
Pu 0.667 0.333 0.750
Pa 0.000 0.000 0.000
Pa 0.000 0.000 0.500
Zn 0.333 0.667 0.750
Zn 0.667 0.333 0.250
O 0.001 0.333 0.131
O 0.001 0.668 0.369
O 0.332 0.333 0.369
O 0.332 0.999 0.131
O 0.333 0.001 0.631
O 0.333 0.332 0.869
O 0.667 0.668 0.131
O 0.667 0.999 0.369
O 0.668 0.001 0.869
O 0.668 0.667 0.631
O 0.999 0.332 0.631
O 0.999 0.667 0.869

Results
For the density of states at the Fermi level, the calculation gives 20.38 states/eV per cell. The value obtained for the total energy is -0.647 Ry/atom. Its magnetic moment is 6.0 Bohr magnetons per cell. Its raw formation energy is -2.703 eV/atom. The calculated volume is 13.8 Å³ per atom.

This record from the Alexandria database describes crystalline PuZrPaO6 at its relaxed geometry. The functional is GGA-PBE.

Cell: 5.750 5.750 9.581 Å, 90.00 90.00 120.00°
Sites, in units of the cell vectors:
Pu 0.000 0.000 0.000
Pu 0.000 0.000 0.500
Zr 0.333 0.667 0.250
Zr 0.667 0.333 0.750
Pa 0.333 0.667 0.750
Pa 0.667 0.333 0.250
O 0.008 0.354 0.136
O 0.008 0.654 0.364
O 0.346 0.354 0.364
O 0.346 0.992 0.136
O 0.354 0.008 0.636
O 0.354 0.346 0.864
O 0.646 0.654 0.136
O 0.646 0.992 0.364
O 0.654 0.008 0.864
O 0.654 0.646 0.636
O 0.992 0.346 0.636
O 0.992 0.646 0.864

Results
For the density of states at the Fermi level, the calculation gives 17.42 states/eV per cell. The value obtained for the total energy is -0.747 Ry/atom. Its magnetic moment is 10.0 Bohr magnetons per cell. Its raw formation energy is -3.263 eV/atom. The calculated volume is 15.2 Å³ per atom.

This record from the Alexandria database describes crystalline Rb3PaO6 at its relaxed geometry. The functional is GGA-PBE.

Cell: 6.799 6.799 11.257 Å, 90.00 90.00 120.00°
Sites, in units of the cell vectors:
Rb 0.000 0.000 0.000
Rb 0.000 0.000 0.500
Rb 0.333 0.667 0.083
Rb 0.333 0.667 0.417
Rb 0.667 0.333 0.583
Rb 0.667 0.333 0.917
Pa 0.333 0.667 0.750
Pa 0.667 0.333 0.250
O 0.111 0.430 0.638
O 0.111 0.682 0.862
O 0.318 0.430 0.862
O 0.318 0.889 0.638
O 0.430 0.111 0.362
O 0.430 0.318 0.138
O 0.570 0.682 0.638
O 0.570 0.889 0.862
O 0.682 0.111 0.138
O 0.682 0.570 0.362
O 0.889 0.318 0.362
O 0.889 0.570 0.138

Results
For the density of states at the Fermi level, the calculation gives 3.00 states/eV per cell. The value obtained for the total energy is -0.434 Ry/atom. Its magnetic moment is 4.0 Bohr magnetons per cell. Its raw formation energy is -1.686 eV/atom. The calculated volume is 22.5 Å³ per atom.